Here is a crystal of BaTeI2Br relaxed with PBEsol from the Alexandria database. Energies are from meta-GGA SCAN.

* energy relative to the elements, uncorrected: -0.4006 eV/atom
* magnetization: 3.023 μB/f.u.
* DOS(E_F): 4.873 states/eV per cell
* raw total energy: -34.35 eV per atom
* density: 3.32 g/cm³
* space-group type: P4/mmm

a = 6.5433 Å, b = 6.5433 Å, c = 6.9948 Å
α = 90.00°, β = 90.00°, γ = 90.00°
With the nearest neighbours (Å) after each atom.
Atoms (fractional coordinates):
I 0.0000 0.5000 0.0000  2 Ba 3.27
I 0.5000 0.0000 0.0000  2 Ba 3.27
Te 0.0000 0.0000 0.5000  2 Ba 3.50
Ba 0.0000 0.0000 0.0000  4 I 3.27, 2 Te 3.50
Br 0.5000 0.5000 0.5000  4 Te 4.63, 8 I 4.79

Here is a crystal of KCaSc relaxed with PBEsol from the Alexandria database. Energies are from meta-GGA SCAN.

* ΔH_f (0 K): 22.98 kcal/mol of atoms
* magnetization: 2.289 μB/f.u.
* DOS(E_F): 5.065 states/eV per cell
* raw total energy: -9.75 eV per atom
* density: 1.40 g/cm³
* space-group type: F-43m

a = 5.9311 Å, b = 5.9311 Å, c = 5.9311 Å
α = 60.00°, β = 60.00°, γ = 60.00°
With the nearest neighbours (Å) after each atom.
Atoms (fractional coordinates):
Ca 0.0000 0.0000 0.0000  4 Sc 3.63
K 0.5000 0.5000 0.5000  4 Sc 3.63
Sc 0.2500 0.2500 0.2500  4 K 3.63, 4 Ca 3.63

Here is a crystal of MnZn2Au relaxed with PBEsol from the Alexandria database. Energies are from meta-GGA SCAN.

* ΔH_f (0 K): -4.25 kcal/mol of atoms
* magnetization: 3.111 μB/f.u.
* DOS(E_F): 1.977 states/eV per cell
* raw total energy: -28.80 eV per atom
* density: 11.31 g/cm³
* space-group type: P4/mmm

a = 2.7712 Å, b = 2.7712 Å, c = 7.3179 Å
α = 90.00°, β = 90.00°, γ = 90.00°
With the nearest neighbours (Å) after each atom.
Atoms (fractional coordinates):
Zn 0.0000 0.0000 0.7318  4 Mn 2.59, 4 Zn 2.77, 4 Au 2.77
Zn 0.0000 0.0000 0.2682  4 Mn 2.59, 4 Zn 2.77, 4 Au 2.77
Mn 0.5000 0.5000 0.5000  8 Zn 2.59, 4 Mn 2.77
Au 0.5000 0.5000 0.0000  4 Au 2.77, 8 Zn 2.77

Here is a crystal of BaMgZr4 relaxed with PBEsol from the Alexandria database. Energies are from meta-GGA SCAN.

* ΔH_f (0 K): 12.51 kcal/mol of atoms
* magnetization: 0.001 μB/f.u.
* DOS(E_F): 8.310 states/eV per cell
* raw total energy: -27.34 eV per atom
* density: 5.58 g/cm³
* space-group type: F-43m

a = 6.0504 Å, b = 6.0504 Å, c = 6.0504 Å
α = 60.00°, β = 60.00°, γ = 60.00°
With the nearest neighbours (Å) after each atom.
Atoms (fractional coordinates):
Ba 0.7500 0.7500 0.7500  12 Zr 3.55, 4 Mg 3.71
Mg 0.0000 0.0000 0.0000  12 Zr 3.55, 4 Ba 3.71
Zr 0.3743 0.3743 0.3743  6 Zr 3.01-3.04
Zr 0.3743 0.3743 0.8770  6 Zr 3.01-3.04
Zr 0.8770 0.3743 0.3743  6 Zr 3.01-3.04
Zr 0.3743 0.8770 0.3743  6 Zr 3.01-3.04

Here is a crystal of LaMo2Se relaxed with PBEsol from the Alexandria database. Energies are from meta-GGA SCAN.

* energy relative to the elements, uncorrected: 0.4623 eV/atom
* magnetization: 0.000 μB/f.u.
* DOS(E_F): 3.402 states/eV per cell
* raw total energy: -32.78 eV per atom
* density: 8.49 g/cm³
* space-group type: Pmmm

a = 3.3323 Å, b = 3.9423 Å, c = 6.1039 Å
α = 90.00°, β = 90.00°, γ = 90.00°
With the nearest neighbours (Å) after each atom.
Atoms (fractional coordinates):
La 0.5000 0.5000 0.5000  2 Se 3.05, 8 Mo 3.23, 2 La 3.33
Mo 0.0000 0.0000 0.8176  1 Mo 2.23
Mo 0.0000 0.0000 0.1824  1 Mo 2.23
Se 0.5000 0.5000 0.0000  8 Mo 2.81, 2 La 3.05

Here is a crystal of SrCdW2 relaxed with PBEsol from the Alexandria database. Energies are from meta-GGA SCAN.

* ΔH_f (0 K): 28.49 kcal/mol of atoms
* magnetization: 0.000 μB/f.u.
* DOS(E_F): 3.527 states/eV per cell
* raw total energy: -46.78 eV per atom
* density: 11.95 g/cm³
* space-group type: Cmmm

a = 2.7349 Å, b = 5.7113 Å, c = 5.8031 Å
α = 119.48°, β = 90.00°, γ = 90.00°
With the nearest neighbours (Å) after each atom.
Atoms (fractional coordinates):
Cd 0.5000 0.0000 0.0000  2 Cd 2.73, 2 Sr 2.86
Sr 0.5000 0.5000 0.0000  2 Sr 2.73, 2 Cd 2.86
W 0.0000 0.5000 0.5000  4 W 2.73-2.86
W 0.0000 0.0000 0.5000  4 W 2.73-2.86